Entry 1:
VASP calculation (GGA-PBE) on a geometry-optimized ThPaZnRe structure.

Geometry as CIF:
```
data_ThPaZnRe
_space_group_name_H-M_alt 'P 1'
_space_group_IT_number 1
_cell_length_a 5.021
_cell_length_b 5.021
_cell_length_c 5.021
_cell_angle_alpha 60.00
_cell_angle_beta 60.00
_cell_angle_gamma 60.00
loop_
_space_group_symop_operation_xyz
'x,y,z'
loop_
_atom_site_label
_atom_site_fract_x
_atom_site_fract_y
_atom_site_fract_z
Re1 0.500 0.500 0.500
Zn1 0.000 0.000 0.000
Pa1 0.750 0.750 0.750
Th1 0.250 0.250 0.250
```

DFT formation energy (eV per atom): 0.046

---

Entry 2:
VASP calculation (GGA-PBE) on a geometry-optimized BaPtW structure.

Geometry as CIF:
```
data_BaPtW
_space_group_name_H-M_alt 'P 1'
_space_group_IT_number 1
_cell_length_a 5.619
_cell_length_b 5.619
_cell_length_c 9.621
_cell_angle_alpha 90.00
_cell_angle_beta 90.00
_cell_angle_gamma 120.00
loop_
_space_group_symop_operation_xyz
'x,y,z'
loop_
_atom_site_label
_atom_site_fract_x
_atom_site_fract_y
_atom_site_fract_z
W1 0.000 0.000 0.250
W2 0.000 0.000 0.750
Pt1 0.000 0.000 0.000
Pt2 0.000 0.000 0.500
Ba1 0.333 0.667 0.250
Ba2 0.667 0.333 0.750
```

Energy above the most stable polymorph in this dataset (kJ/mol of atoms): 138.15
DFT formation energy (eV per atom): 1.472

---

Entry 3:
VASP calculation (GGA-PBE) on a geometry-optimized NaPaTl2F8 structure.

Geometry as CIF:
```
data_NaPaTl2F8
_space_group_name_H-M_alt 'P 1'
_space_group_IT_number 1
_cell_length_a 6.190
_cell_length_b 6.190
_cell_length_c 7.240
_cell_angle_alpha 115.31
_cell_angle_beta 115.31
_cell_angle_gamma 90.00
loop_
_space_group_symop_operation_xyz
'x,y,z'
loop_
_atom_site_label
_atom_site_fract_x
_atom_site_fract_y
_atom_site_fract_z
Na1 0.500 0.500 0.000
Pa1 0.250 0.750 0.500
Tl1 0.750 0.250 0.500
Tl2 0.000 0.000 0.000
F1 0.161 0.647 0.724
F2 0.563 0.647 0.724
F3 0.353 0.437 0.276
F4 0.923 0.839 0.276
F5 0.563 0.077 0.724
F6 0.353 0.839 0.276
F7 0.161 0.077 0.724
F8 0.923 0.437 0.276
```

Raw formation energy (meV per atom): -3006

---

Entry 4:
VASP calculation (GGA-PBE) on a geometry-optimized Nd4AlAg2 structure.

Geometry as CIF:
```
data_Nd4AlAg2
_space_group_name_H-M_alt 'P 1'
_space_group_IT_number 1
_cell_length_a 7.943
_cell_length_b 7.943
_cell_length_c 8.655
_cell_angle_alpha 108.03
_cell_angle_beta 108.03
_cell_angle_gamma 109.01
loop_
_space_group_symop_operation_xyz
'x,y,z'
loop_
_atom_site_label
_atom_site_fract_x
_atom_site_fract_y
_atom_site_fract_z
Nd1 0.971 0.259 0.339
Nd2 0.280 0.491 0.161
Nd3 0.920 0.632 0.661
Nd4 0.741 0.029 0.661
Nd5 0.368 0.080 0.339
Nd6 0.329 0.118 0.839
Nd7 0.509 0.721 0.839
Nd8 0.882 0.670 0.161
Al1 0.250 0.750 0.500
Al2 0.000 0.000 0.000
Ag1 0.625 0.375 0.750
Ag2 0.625 0.875 0.250
Ag3 0.625 0.374 0.250
Ag4 0.125 0.375 0.750
```

Energy above the most stable polymorph in this dataset (kJ/mol of atoms): 11.10
DFT formation energy (eV per atom): -0.032

---

Entry 5:
VASP calculation (GGA-PBE) on a geometry-optimized YCdGa2Si structure.

Geometry as CIF:
```
data_YCdGa2Si
_space_group_name_H-M_alt 'P 1'
_space_group_IT_number 1
_cell_length_a 4.838
_cell_length_b 5.853
_cell_length_c 4.838
_cell_angle_alpha 90.00
_cell_angle_beta 90.00
_cell_angle_gamma 90.00
loop_
_space_group_symop_operation_xyz
'x,y,z'
loop_
_atom_site_label
_atom_site_fract_x
_atom_site_fract_y
_atom_site_fract_z
Y1 0.000 0.500 0.000
Si1 0.500 0.500 0.500
Ga1 0.000 0.000 0.500
Ga2 0.500 0.000 0.000
Cd1 0.000 0.000 0.000
```

Raw formation energy (meV per atom): 571

---

Entry 6:
VASP calculation (GGA-PBE) on a geometry-optimized Ac2LaTbBi4 structure.

Geometry as CIF:
```
data_Ac2LaTbBi4
_space_group_name_H-M_alt 'P 1'
_space_group_IT_number 1
_cell_length_a 4.747
_cell_length_b 8.214
_cell_length_c 8.209
_cell_angle_alpha 70.54
_cell_angle_beta 90.00
_cell_angle_gamma 90.00
loop_
_space_group_symop_operation_xyz
'x,y,z'
loop_
_atom_site_label
_atom_site_fract_x
_atom_site_fract_y
_atom_site_fract_z
Ac1 0.000 0.000 0.000
Ac2 0.500 0.000 0.500
La1 0.500 0.500 0.000
Tb1 0.000 0.500 0.500
Bi1 0.000 0.736 0.750
Bi2 0.000 0.264 0.250
Bi3 0.500 0.732 0.261
Bi4 0.500 0.268 0.739
```

DFT formation energy (eV per atom): -0.971

---

Entry 7:
VASP calculation (GGA-PBE) on a geometry-optimized Pm8SmEr6 structure.

Geometry as CIF:
```
data_Pm8SmEr6
_space_group_name_H-M_alt 'P 1'
_space_group_IT_number 1
_cell_length_a 9.080
_cell_length_b 9.080
_cell_length_c 8.710
_cell_angle_alpha 58.58
_cell_angle_beta 58.58
_cell_angle_gamma 60.00
loop_
_space_group_symop_operation_xyz
'x,y,z'
loop_
_atom_site_label
_atom_site_fract_x
_atom_site_fract_y
_atom_site_fract_z
Pm1 0.249 0.283 0.580
Pm2 0.717 0.113 0.420
Pm3 0.113 0.751 0.420
Pm4 0.578 0.578 0.267
Pm5 0.422 0.422 0.733
Pm6 0.887 0.249 0.580
Pm7 0.283 0.887 0.580
Pm8 0.751 0.717 0.420
Sm1 0.000 0.000 0.000
Er1 0.463 0.903 0.883
Er2 0.097 0.248 0.117
Er3 0.248 0.537 0.117
Er4 0.752 0.463 0.883
Er5 0.903 0.752 0.883
Er6 0.537 0.097 0.117
```

Energy above the most stable polymorph in this dataset (kJ/mol of atoms): 0.00
DFT formation energy (eV per atom): 0.129

---

Entry 8:
VASP calculation (GGA-PBE) on a geometry-optimized Cr2Mo2Pt structure.

Geometry as CIF:
```
data_Cr2Mo2Pt
_space_group_name_H-M_alt 'P 1'
_space_group_IT_number 1
_cell_length_a 3.997
_cell_length_b 3.997
_cell_length_c 5.629
_cell_angle_alpha 69.20
_cell_angle_beta 69.20
_cell_angle_gamma 90.00
loop_
_space_group_symop_operation_xyz
'x,y,z'
loop_
_atom_site_label
_atom_site_fract_x
_atom_site_fract_y
_atom_site_fract_z
Cr1 0.391 0.391 0.219
Cr2 0.609 0.609 0.781
Mo1 0.750 0.250 0.500
Mo2 0.250 0.750 0.500
Pt1 0.000 0.000 0.000
```

Energy above the most stable polymorph in this dataset (kJ/mol of atoms): 43.08
DFT formation energy (eV per atom): 0.643

---

Entry 9:
VASP calculation (GGA-PBE) on a geometry-optimized GeRuPt3 structure.

Geometry as CIF:
```
data_GeRuPt3
_space_group_name_H-M_alt 'P 1'
_space_group_IT_number 1
_cell_length_a 4.615
_cell_length_b 4.615
_cell_length_c 4.615
_cell_angle_alpha 90.00
_cell_angle_beta 90.00
_cell_angle_gamma 90.00
loop_
_space_group_symop_operation_xyz
'x,y,z'
loop_
_atom_site_label
_atom_site_fract_x
_atom_site_fract_y
_atom_site_fract_z
Ru1 0.500 0.500 0.500
Ge1 0.000 0.000 0.000
Pt1 0.000 0.500 0.000
Pt2 0.000 0.000 0.500
Pt3 0.500 0.000 0.000
```

Energy above the most stable polymorph in this dataset (kJ/mol of atoms): 0.00
DFT formation energy (eV per atom): 0.939

---

Entry 10:
VASP calculation (GGA-PBE) on a geometry-optimized La3PmSm7 structure.

Geometry as CIF:
```
data_La3PmSm7
_space_group_name_H-M_alt 'P 1'
_space_group_IT_number 1
_cell_length_a 6.512
_cell_length_b 7.851
_cell_length_c 7.851
_cell_angle_alpha 81.63
_cell_angle_beta 86.38
_cell_angle_gamma 86.38
loop_
_space_group_symop_operation_xyz
'x,y,z'
loop_
_atom_site_label
_atom_site_fract_x
_atom_site_fract_y
_atom_site_fract_z
La1 0.000 0.824 0.176
La2 0.500 0.000 0.000
La3 0.000 0.176 0.824
Pm1 0.500 0.500 0.500
Sm1 0.789 0.238 0.238
Sm2 0.738 0.914 0.571
Sm3 0.262 0.429 0.086
Sm4 0.738 0.571 0.914
Sm5 0.000 0.500 0.500
Sm6 0.262 0.086 0.429
Sm7 0.211 0.762 0.762
```

Energy above the most stable polymorph in this dataset (kJ/mol of atoms): 0.00
DFT formation energy (eV per atom): 0.208

---

Entry 11:
VASP calculation (GGA-PBE) on a geometry-optimized Mn3HOs structure.

Geometry as CIF:
```
data_Mn3HOs
_space_group_name_H-M_alt 'P 1'
_space_group_IT_number 1
_cell_length_a 6.734
_cell_length_b 6.734
_cell_length_c 6.734
_cell_angle_alpha 60.00
_cell_angle_beta 60.00
_cell_angle_gamma 60.00
loop_
_space_group_symop_operation_xyz
'x,y,z'
loop_
_atom_site_label
_atom_site_fract_x
_atom_site_fract_y
_atom_site_fract_z
H1 0.125 0.125 0.125
H2 0.125 0.625 0.125
H3 0.625 0.125 0.125
H4 0.125 0.125 0.625
Mn1 0.812 0.188 0.188
Mn2 0.062 0.438 0.438
Mn3 0.438 0.438 0.062
Mn4 0.438 0.062 0.062
Mn5 0.062 0.438 0.062
Mn6 0.812 0.188 0.812
Mn7 0.438 0.062 0.438
Mn8 0.062 0.062 0.438
Mn9 0.188 0.812 0.188
Mn10 0.188 0.812 0.812
Mn11 0.188 0.188 0.812
Mn12 0.812 0.812 0.188
Os1 0.625 0.625 0.625
Os2 0.625 0.125 0.625
Os3 0.125 0.625 0.625
Os4 0.625 0.625 0.125
```

Energy above the most stable polymorph in this dataset (kJ/mol of atoms): 56.26

---

One value per record, in order, for spin magnetization: 0.00, 5.81, 0.00, 0.00, 0.00, 0.00, 0.00, 0.00, 3.06, 0.00, 6.89 Bohr magnetons per cell.